No. 1
The following is a PBE calculation of an optimized crystal structure of Ho2Tm5Ga, from the Open Quantum Materials Database.

```
Ho2Tm5Ga
1.0
5.398 0.000 0.000
0.000 3.477 6.028
0.000 -3.477 6.028
Ho Tm Ga
2 5 1
Cartesian
0.000 0.000 0.000 Ho
2.699 0.000 4.142 Ho
0.000 -1.791 3.119 Tm
0.000 0.000 6.113 Tm
0.000 1.791 3.119 Tm
2.699 -1.697 7.088 Tm
2.699 1.697 7.088 Tm
2.699 0.000 10.079 Ga
```

Output
Electronic total energy: -35.0 eV per cell
Density: 9.131 g cm⁻³
SG: No. 38

No. 2
The following is a PBE calculation of an optimized crystal structure of Gd2SbICl, from the Open Quantum Materials Database.

```
Gd2SbICl
1.0
4.287 0.000 0.000
-2.144 3.713 0.000
0.000 0.000 10.958
Gd Sb I Cl
2 1 1 1
Cartesian
0.000 0.000 0.000 Gd
0.000 2.475 3.507 Gd
2.144 1.238 1.761 Sb
0.000 2.475 8.974 I
0.000 0.000 5.018 Cl
```

Output
Electronic total energy: -24.2 eV per cell
Density: 5.698 g cm⁻³
SG: No. 156

No. 3
The following is a PBE calculation of an optimized crystal structure of KNpIr, from the Open Quantum Materials Database.

```
KNpIr
1.0
0.000 3.438 3.438
3.438 0.000 3.438
3.438 3.438 0.000
K Np Ir
1 1 1
Cartesian
0.000 0.000 0.000 K
3.438 3.438 3.438 Np
1.719 1.719 1.719 Ir
```

Output
Density: 9.564 g cm⁻³
SG: No. 216
Relative energy among the computed polymorphs: 0.0 meV per atom